This record from the Alexandria database describes an optimized crystal structure of Pr6ZnS5. The functional is GGA-PBE.

Output
Energy relative to the elements, uncorrected, eV/atom: -1.7244
Calculated volume, Å³ per atom: 25.114
Space-group type: C2/m

```
Pr6ZnS5
1.0
7.055 -0.105 -1.327
-3.807 5.940 -1.327
0.136 0.245 7.149
Pr Zn S
6 1 5
Cartesian
2.707 0.517 1.138 Pr
4.371 3.507 3.356 Pr
0.929 1.670 4.667 Pr
2.454 4.410 -0.173 Pr
-0.987 2.573 1.138 Pr
0.677 5.563 3.356 Pr
0.000 0.000 0.000 Zn
5.329 1.016 2.247 S
3.429 1.913 -1.327 S
1.692 3.040 2.247 S
-0.182 3.923 -1.327 S
-1.946 5.064 2.247 S
```

---

This record from the Alexandria database describes an optimized crystal structure of Nd8MgGa6. The functional is GGA-PBE.

Output
Calculated volume, Å³ per atom: 28.567
Space-group type: R-3

```
Nd8MgGa6
1.0
8.874 0.000 0.000
4.437 7.685 0.000
4.437 2.562 6.283
Nd Mg Ga
8 1 6
Cartesian
7.500 2.436 2.060 Nd
10.515 2.590 4.223 Nd
5.859 4.970 4.223 Nd
8.874 5.124 0.023 Nd
8.874 5.124 6.260 Nd
11.889 5.277 2.060 Nd
7.234 7.658 2.060 Nd
10.248 7.811 4.223 Nd
0.000 0.000 0.000 Mg
7.341 2.543 5.236 Ga
10.342 2.505 1.047 Ga
5.873 5.162 1.047 Ga
11.875 5.085 5.236 Ga
7.407 7.742 5.236 Ga
10.408 7.704 1.047 Ga
```

---

This record from the Alexandria database describes an optimized crystal structure of CdTePd2. The functional is GGA-PBE.

Output
Energy relative to the elements, uncorrected, eV/atom: -0.1311
Calculated volume, Å³ per atom: 21.410
Excess energy over the best structure of this formula in the dataset, kJ/mol of atoms: 17.9
Space-group type: I-42d

```
CdTePd2
1.0
-0.924 -1.654 -3.943
-3.855 -1.422 1.500
-6.173 6.221 -3.590
Te Pd Cd
2 4 2
Cartesian
0.000 0.000 0.000 Te
-4.743 1.515 -4.377 Te
-2.628 0.298 -3.284 Pd
-4.042 0.506 -0.343 Pd
-6.314 3.552 -3.651 Pd
-8.919 1.935 -4.788 Pd
-2.389 -1.538 -1.222 Cd
-6.209 1.631 -1.656 Cd
```

---

This record from the Alexandria database describes an optimized crystal structure of ScUMoC3. The functional is GGA-PBE.

Output
Calculated volume, Å³ per atom: 12.718
Space-group type: P2_1/m

```
ScUMoC3
1.0
3.291 0.000 0.000
0.000 5.612 0.133
0.000 -2.063 8.212
Sc U Mo C
2 2 2 6
Cartesian
0.823 4.218 0.563 Sc
2.469 -0.668 7.783 Sc
2.469 2.186 5.787 U
0.823 1.364 2.559 U
0.823 -0.592 5.196 Mo
2.469 4.142 3.150 Mo
0.823 3.164 4.081 C
2.469 -0.022 1.454 C
2.469 2.741 1.559 C
2.469 0.386 4.265 C
0.823 0.809 6.786 C
0.823 3.571 6.891 C
```

---

Number 1: total energy -71.28 eV per cell. Number 2: total energy -62.95 eV per cell. Number 3: total energy -29.93 eV per cell. Number 4: total energy -116.09 eV per cell.